Entry 1:
Material: RbZnOF2
Method: DFT, SCAN
State: PBEsol geometry

Unit cell a=4.1895 b=4.8045 c=4.8045 alpha=90.00 beta=90.00 gamma=90.00
Site moments in Bohr magnetons follow the coordinates.
Element x y z (fractional)
F 0.0000 0.5000 0.0000  0.00
F 0.0000 0.0000 0.5000  0.00
Zn 0.5000 0.5000 0.5000  -0.01
Rb 0.0000 0.0000 0.0000  0.01
O 0.5000 0.0000 0.0000  0.10

Computed properties:
**Final energy**: -9.7342 eV per atom
**ΔE_f (raw)**: -221 meV per atom

=====

Entry 2:
Material: BaAgP
Method: DFT, SCAN
State: PBEsol geometry

Unit cell a=4.3992 b=4.3992 c=4.5236 alpha=90.00 beta=90.00 gamma=120.00
Element x y z (fractional)
Ba 0.3333 0.6667 0.0000
Ag 0.0000 0.0000 0.5000
P 0.6667 0.3333 0.5000

Computed properties:
**Energy relative to the elements**: -827 meV/atom
**Final energy**: -27.9324 eV per atom

=====

Number 1: magnetic moment 0.10 μB/cell. Number 2: magnetic moment 0.00 μB/cell.